Material: AlPdO2
Method: DFT, GGA-PBE
State: relaxed

## Properties
The raw formation energy is -1648 meV/atom. The total energy is -6.361 eV per atom.

```
AlPdO2
1.0
0.5440 7.4743 -10.0740
3.4429 1.2910 -3.7664
1.3870 -4.8937 1.3542
Al O Pd
2 4 2
direct
0.2619 0.0690 0.1839
0.7619 0.3161 0.4310
0.6142 0.6801 0.5375
0.8954 0.8025 0.6321
0.1142 0.9625 0.8199
0.3954 0.8679 0.6975
0.7459 0.8051 0.0523
0.2459 0.4477 0.6949
```